#A
A plane-wave DFT calculation with SCAN was carried out for a crystal of TlSbI2N relaxed with PBEsol.

```
TlSbI2N
1.0
3.979 0.000 0.000
0.000 6.207 0.000
0.000 0.000 6.207
N Tl I Sb
1 1 2 1
Direct
0.500 0.000 0.000
0.500 0.500 0.500
0.000 0.500 0.000
0.000 0.000 0.500
0.000 0.000 0.000
```

D(E_F): 0.53 states/eV/cell
space-group type: No. 123

#B
A plane-wave DFT calculation with SCAN was carried out for a crystal of TlSbI2N relaxed with PBEsol.

```
TlSbI2N
1.0
-2.687 -3.238 -0.579
0.515 -1.413 5.510
-4.393 3.415 1.287
Tl I N Sb
1 2 1 1
Direct
0.500 0.500 0.500
0.000 0.500 0.000
0.000 0.000 0.500
0.000 0.000 0.000
0.500 0.000 0.000
```

D(E_F): 1.99 states/eV/cell
space-group type: No. 123

Stability check: which of them is most stable? #A.

#A
A plane-wave DFT calculation with SCAN was carried out for a crystal of TaTe2IN relaxed with PBEsol.

```
TaTe2IN
1.0
-3.649 -3.465 1.719
-1.119 -1.316 -5.029
3.920 -4.037 0.184
Ta I N Te
1 1 1 2
Direct
0.000 0.000 0.000
0.000 0.000 0.500
0.500 0.500 0.500
0.500 0.000 0.000
0.000 0.500 0.000
```

D(E_F): 1.96 states/eV/cell
space-group type: No. 123

#B
A plane-wave DFT calculation with SCAN was carried out for a crystal of TaTe2IN relaxed with PBEsol.

```
TaTe2IN
1.0
3.836 0.000 0.000
0.000 5.687 0.000
0.000 0.000 5.687
Ta N I Te
1 1 1 2
Direct
0.500 0.500 0.500
0.500 0.000 0.000
0.000 0.000 0.000
0.000 0.500 0.000
0.000 0.000 0.500
```

D(E_F): 2.61 states/eV/cell
space-group type: No. 123

Stability check: which of them is most stable? #A.

#A
A plane-wave DFT calculation with SCAN was carried out for a crystal of ZrTeI2N relaxed with PBEsol.

```
ZrTeI2N
1.0
3.897 0.000 0.000
0.000 6.044 0.000
0.000 0.000 6.044
Zr I Te N
1 2 1 1
Direct
0.500 0.500 0.500
0.000 0.500 0.000
0.000 0.000 0.500
0.000 0.000 0.000
0.500 0.000 0.000
```

D(E_F): 2.68 states/eV/cell
space-group type: No. 123

#B
A plane-wave DFT calculation with SCAN was carried out for a crystal of ZrTeI2N relaxed with PBEsol.

```
ZrTeI2N
1.0
5.491 0.000 0.000
0.000 5.726 0.000
0.000 0.000 5.726
Zr N I Te
1 1 2 1
Direct
0.000 0.000 0.000
0.500 0.500 0.500
0.000 0.500 0.000
0.000 0.000 0.500
0.500 0.000 0.000
```

D(E_F): 1.04 states/eV/cell
space-group type: No. 123

Stability check: which of them is most stable? #B.

#A
A plane-wave DFT calculation with SCAN was carried out for a crystal of NaPIO2 relaxed with PBEsol.

```
NaPIO2
1.0
4.129 0.000 0.000
0.000 4.129 0.000
0.000 0.000 6.058
O P Na I
2 1 1 1
Direct
0.000 0.500 0.000
0.500 0.000 0.000
0.500 0.500 0.500
0.000 0.000 0.000
0.000 0.000 0.500
```

D(E_F): 5.41 states/eV/cell
space-group type: No. 123

#B
A plane-wave DFT calculation with SCAN was carried out for a crystal of NaPIO2 relaxed with PBEsol.

```
NaPIO2
1.0
-1.805 -0.597 -3.234
-2.777 -1.700 1.864
-2.650 4.949 0.565
O P I Na
2 1 1 1
Direct
0.000 0.500 0.000
0.500 0.000 0.000
0.000 0.000 0.000
0.000 0.000 0.500
0.500 0.500 0.500
```

D(E_F): 1.04 states/eV/cell
space-group type: No. 123

Stability check: which of them is most stable? #B.

#A
A plane-wave DFT calculation with SCAN was carried out for a crystal of NaPbSI2 relaxed with PBEsol.

```
NaPbSI2
1.0
-2.566 1.351 -4.082
0.430 -5.235 -2.003
-4.808 -1.377 2.567
S Na I Pb
1 1 2 1
Direct
0.500 0.000 0.000
0.000 0.000 0.000
0.000 0.500 0.000
0.000 0.000 0.500
0.500 0.500 0.500
```

D(E_F): 2.64 states/eV/cell
space-group type: No. 123

#B
A plane-wave DFT calculation with SCAN was carried out for a crystal of NaPbSI2 relaxed with PBEsol.

```
NaPbSI2
1.0
5.071 0.000 0.000
0.000 6.199 0.000
0.000 0.000 6.199
I Na S Pb
2 1 1 1
Direct
0.000 0.500 0.000
0.000 0.000 0.500
0.500 0.500 0.500
0.500 0.000 0.000
0.000 0.000 0.000
```

D(E_F): 4.38 states/eV/cell
space-group type: No. 123

Stability check: which of them is most stable? #B.

#A
A plane-wave DFT calculation with SCAN was carried out for a crystal of TaNbIO2 relaxed with PBEsol.

```
TaNbIO2
1.0
3.958 0.000 0.000
0.000 3.958 0.000
0.000 0.000 6.053
O Ta I Nb
2 1 1 1
Direct
0.000 0.500 0.000
0.500 0.000 0.000
0.500 0.500 0.500
0.000 0.000 0.500
0.000 0.000 0.000
```

D(E_F): 4.85 states/eV/cell
space-group type: No. 123

#B
A plane-wave DFT calculation with SCAN was carried out for a crystal of TaNbIO2 relaxed with PBEsol.

```
TaNbIO2
1.0
3.932 0.000 0.000
0.000 3.932 0.000
0.000 0.000 6.188
O Ta Nb I
2 1 1 1
Direct
0.500 0.000 0.000
0.000 0.500 0.000
0.000 0.000 0.000
0.500 0.500 0.500
0.000 0.000 0.500
```

D(E_F): 3.63 states/eV/cell
space-group type: No. 123

Stability check: which of them is most stable? #B.

#A
A plane-wave DFT calculation with SCAN was carried out for a crystal of ReNiIO2 relaxed with PBEsol.

```
ReNiIO2
1.0
3.721 0.000 0.000
0.000 3.721 0.000
0.000 0.000 5.977
Re O I Ni
1 2 1 1
Direct
0.000 0.000 0.000
0.000 0.500 0.000
0.500 0.000 0.000
0.000 0.000 0.500
0.500 0.500 0.500
```

D(E_F): 2.48 states/eV/cell
space-group type: No. 123

#B
A plane-wave DFT calculation with SCAN was carried out for a crystal of ReNiIO2 relaxed with PBEsol.

```
ReNiIO2
1.0
3.791 0.000 0.000
0.000 3.791 0.000
0.000 0.000 5.017
Re I O Ni
1 1 2 1
Direct
0.500 0.500 0.500
0.000 0.000 0.500
0.000 0.500 0.000
0.500 0.000 0.000
0.000 0.000 0.000
```

D(E_F): 4.63 states/eV/cell
space-group type: No. 123

Stability check: which of them is most stable? #A.

#A
A plane-wave DFT calculation with SCAN was carried out for a crystal of NiS2I relaxed with PBEsol.

```
NiS2I
1.0
-2.832 0.784 1.953
-3.235 -0.341 -1.367
-2.303 -6.891 2.615
S Ni I
2 1 1
Direct
0.118 0.118 0.646
0.882 0.882 0.354
0.500 0.500 0.500
0.000 0.000 0.000
```

D(E_F): 2.20 states/eV/cell
space-group type: No. 166

#B
A plane-wave DFT calculation with SCAN was carried out for a crystal of NiS2I relaxed with PBEsol.

```
NiS2I
1.0
4.477 0.000 0.000
2.238 3.877 0.000
2.238 1.292 6.438
Ni S I
1 2 1
Direct
0.000 0.000 0.000
0.104 0.104 0.688
0.896 0.896 0.312
0.500 0.500 0.500
```

D(E_F): 2.48 states/eV/cell
space-group type: No. 166

#C
A plane-wave DFT calculation with SCAN was carried out for a crystal of NiS2I relaxed with PBEsol.

```
NiS2I
1.0
-4.039 1.792 1.133
-3.524 -2.737 0.949
-1.529 -0.349 4.284
I Ni S
1 1 2
Direct
0.500 0.500 0.500
0.000 0.000 0.000
0.250 0.250 0.250
0.750 0.750 0.750
```

D(E_F): 3.24 states/eV/cell
space-group type: No. 225

Stability check: which of them is most stable? #A.